CaTa2HCl: optimized geometry, GGA-PBE.

abc: 4.485 4.485 5.599
angles: 90.00 90.00 90.00
Sites, in units of the cell vectors:
Ca 0.000 0.000 0.000
Ta 0.000 0.500 0.500
Ta 0.500 0.000 0.500
H 0.500 0.500 0.000
Cl 0.000 0.000 0.500

Results
calculated volume = 22.52 A^3/atom
Fermi-level density of states = 0.792 states/eV/atom
E = -0.3627 Ry per atom